# 1
First-principles (GGA-PBE) data for a geometry-optimized Hf2GaAs2 structure, as listed in the Alexandria database.

abc: 7.371 7.371 3.580
angles: 90.00 90.00 90.00
Fractional positions:
As1 0.146 0.646 0.500
As2 0.646 0.854 0.500
As3 0.854 0.354 0.500
As4 0.354 0.146 0.500
Hf1 0.347 0.847 0.000
Hf2 0.847 0.653 0.000
Hf3 0.653 0.153 0.000
Hf4 0.153 0.347 0.000
Ga1 0.000 0.000 0.000
Ga2 0.500 0.500 0.000

volume: 19.450 Å³/atom
DFT formation energy: -293.0 kJ/mol of formula units
energy above the most stable polymorph in this dataset: 0 meV per atom
crystal system: tetragonal

---

# 2
First-principles (GGA-PBE) data for a geometry-optimized TbCdPb structure, as listed in the Alexandria database.

abc: 3.655 5.041 5.041
angles: 120.00 90.00 90.00
Fractional positions:
Pb1 0.068 0.000 0.000
Tb1 0.658 0.667 0.333
Cd1 0.273 0.333 0.667

volume: 26.812 Å³/atom
DFT formation energy: -84.1 kJ/mol of formula units
crystal system: trigonal

---

# 3
First-principles (GGA-PBE) data for a geometry-optimized Li5Ca4Ac structure, as listed in the Alexandria database.

abc: 3.980 3.980 19.960
angles: 90.00 90.00 90.00
Fractional positions:
Li1 0.500 0.500 0.108
Li2 0.500 0.500 0.304
Li3 0.500 0.500 0.500
Li4 0.500 0.500 0.696
Li5 0.500 0.500 0.892
Ca1 0.000 0.000 0.203
Ca2 0.000 0.000 0.402
Ca3 0.000 0.000 0.598
Ca4 0.000 0.000 0.797
Ac1 0.000 0.000 0.000

volume: 31.615 Å³/atom
DFT formation energy: 31.4 kJ/mol of formula units
crystal system: tetragonal

---

# 4
First-principles (GGA-PBE) data for a geometry-optimized CsK2Cl3 structure, as listed in the Alexandria database.

abc: 4.651 6.685 8.135
angles: 114.26 106.61 90.00
Fractional positions:
Cs1 0.500 0.500 0.500
K1 0.833 0.833 0.166
K2 0.167 0.167 0.834
Cl1 0.818 0.318 0.136
Cl2 0.182 0.682 0.864
Cl3 0.500 0.000 0.500

volume: 36.496 Å³/atom
energy above the most stable polymorph in this dataset: 0 meV per atom
crystal system: orthorhombic
E_form (uncorrected): -44.8 kcal/mol of atoms

---

# 5
First-principles (GGA-PBE) data for a geometry-optimized Tb4S3O4 structure, as listed in the Alexandria database.

abc: 3.891 7.234 7.494
angles: 118.86 105.05 90.00
Fractional positions:
Tb1 0.223 0.723 0.446
Tb2 0.777 0.277 0.554
Tb3 0.500 0.752 0.000
Tb4 0.500 0.248 0.000
S1 0.087 0.087 0.173
S2 0.913 0.913 0.827
S3 0.000 0.500 0.000
O1 0.325 0.136 0.650
O2 0.675 0.486 0.350
O3 0.675 0.864 0.350
O4 0.325 0.514 0.650

volume: 16.039 Å³/atom
crystal system: orthorhombic
E_form (uncorrected): -57.1 kcal/mol of atoms

---

# 6
First-principles (GGA-PBE) data for a geometry-optimized MgHIr5 structure, as listed in the Alexandria database.

abc: 4.525 4.871 4.871
angles: 120.00 90.00 90.00
Fractional positions:
Mg1 0.112 0.114 0.907
H1 0.654 0.114 0.907
Ir1 0.598 0.483 0.275
Ir2 0.598 0.746 0.907
Ir3 0.598 0.114 0.538
Ir4 0.098 0.448 0.573
Ir5 0.098 0.781 0.240

volume: 13.284 Å³/atom
energy above the most stable polymorph in this dataset: 14 meV per atom
crystal system: trigonal

---

# 7
First-principles (GGA-PBE) data for a geometry-optimized Sm2HoSc3 structure, as listed in the Alexandria database.

abc: 5.327 8.429 9.787
angles: 121.13 90.00 108.42
Fractional positions:
Sm1 0.530 0.060 0.845
Sm2 0.470 0.940 0.155
Sm3 0.801 0.601 0.154
Sm4 0.199 0.399 0.846
Ho1 0.866 0.732 0.846
Ho2 0.134 0.268 0.154
Sc1 0.280 0.560 0.595
Sc2 0.950 0.901 0.599
Sc3 0.617 0.233 0.597
Sc4 0.383 0.767 0.403
Sc5 0.050 0.099 0.401
Sc6 0.720 0.440 0.405

volume: 29.135 Å³/atom
DFT formation energy: 46.8 kJ/mol of formula units
energy above the most stable polymorph in this dataset: 0 meV per atom
crystal system: monoclinic

---

# 8
First-principles (GGA-PBE) data for a geometry-optimized AcCdPO structure, as listed in the Alexandria database.

abc: 4.283 4.283 9.370
angles: 90.00 90.00 90.00
Fractional positions:
Ac1 0.500 0.000 0.635
Ac2 0.000 0.500 0.365
Cd1 0.500 0.500 0.000
Cd2 0.000 0.000 0.000
P1 0.000 0.500 0.821
P2 0.500 0.000 0.179
O1 0.000 0.000 0.500
O2 0.500 0.500 0.500

volume: 21.489 Å³/atom
crystal system: tetragonal
E_form (uncorrected): -40.8 kcal/mol of atoms

---

# 9
First-principles (GGA-PBE) data for a geometry-optimized V2AsSe structure, as listed in the Alexandria database.

abc: 5.740 5.740 6.996
angles: 65.78 65.78 90.00
Fractional positions:
As1 0.500 0.500 0.000
As2 0.250 0.750 0.500
Se1 0.000 0.000 0.000
Se2 0.750 0.250 0.500
V1 0.622 0.125 0.250
V2 0.128 0.625 0.250
V3 0.375 0.378 0.750
V4 0.875 0.872 0.750

volume: 23.472 Å³/atom
energy above the most stable polymorph in this dataset: 208 meV per atom
crystal system: tetragonal
E_form (uncorrected): -2.5 kcal/mol of atoms

---

# 10
First-principles (GGA-PBE) data for a geometry-optimized Ta2OsPt structure, as listed in the Alexandria database.

abc: 4.878 4.878 4.972
angles: 80.85 80.85 34.36
Fractional positions:
Os1 0.250 0.250 0.250
Pt1 0.750 0.750 0.750
Ta1 0.002 0.002 0.002
Ta2 0.498 0.498 0.498

volume: 16.460 Å³/atom
DFT formation energy: -52.0 kJ/mol of formula units
crystal system: monoclinic

---

# 11
First-principles (GGA-PBE) data for a geometry-optimized NaSr2Zn2 structure, as listed in the Alexandria database.

abc: 8.626 8.626 4.386
angles: 90.00 90.00 90.00
Fractional positions:
Sr1 0.176 0.676 0.500
Sr2 0.676 0.824 0.500
Sr3 0.824 0.324 0.500
Sr4 0.324 0.176 0.500
Zn1 0.388 0.888 0.000
Zn2 0.888 0.612 0.000
Zn3 0.612 0.112 0.000
Zn4 0.112 0.388 0.000
Na1 0.000 0.000 0.000
Na2 0.500 0.500 0.000

volume: 32.636 Å³/atom
DFT formation energy: -63.6 kJ/mol of formula units
energy above the most stable polymorph in this dataset: 20 meV per atom
crystal system: tetragonal

---

# 12
First-principles (GGA-PBE) data for a geometry-optimized Cs3UAg2I8 structure, as listed in the Alexandria database.

abc: 8.663 8.663 11.057
angles: 90.00 90.00 120.00
Fractional positions:
Cs1 0.333 0.667 0.620
Cs2 0.667 0.333 0.380
Cs3 0.000 0.000 0.000
U1 0.000 0.000 0.500
Ag1 0.333 0.667 0.193
Ag2 0.667 0.333 0.807
I1 0.333 0.667 0.950
I2 0.667 0.333 0.050
I3 0.165 0.835 0.329
I4 0.835 0.165 0.671
I5 0.165 0.331 0.329
I6 0.835 0.669 0.671
I7 0.669 0.835 0.329
I8 0.331 0.165 0.671

volume: 51.327 Å³/atom
crystal system: trigonal
E_form (uncorrected): -21.4 kcal/mol of atoms

---

> Among the records above, which one has the highest volume?

Cs3UAg2I8

---

> volume of number 1 (Hf2GaAs2)?

19.450 Å³/atom